(1)
# CsNa3Pa4Se12 | Alexandria via LeMat-Bulk | PBE-GGA | relaxed
data_CsNa3Pa4Se12
_cell_length_a 10.695
_cell_length_b 10.695
_cell_length_c 10.695
_cell_angle_alpha 90.00
_cell_angle_beta 90.00
_cell_angle_gamma 90.00
_space_group_name_H-M_alt 'I m -3'
_space_group_IT_number 204
_space_group_name_Hall '-I 2 2 3'
loop_
_atom_site_label
_atom_site_fract_x
_atom_site_fract_y
_atom_site_fract_z
_atom_site_occupancy
Cs1 0.000 0.000 0.000 1
Na1 0.000 0.000 0.500 1
Pa1 0.250 0.250 0.250 1
Se1 0.000 0.296 0.198 1
# Energy, eV per cell: -221.27
# Formation energy from raw total energies, meV/atom: -1301

---

(2)
# Li3Sb2Pd8 | Alexandria via LeMat-Bulk | PBE-GGA | relaxed
data_Li3Sb2Pd8
_cell_length_a 10.462
_cell_length_b 8.991
_cell_length_c 4.938
_cell_angle_alpha 90.00
_cell_angle_beta 113.71
_cell_angle_gamma 90.00
_space_group_name_H-M_alt 'C 1 2/m 1'
_space_group_IT_number 12
loop_
_space_group_symop_operation_xyz
'x,y,z'
'-x,-y,-z'
'-x,y,-z'
'x,-y,z'
'x+1/2,y+1/2,z'
'-x+1/2,-y+1/2,-z'
'-x+1/2,y+1/2,-z'
'x+1/2,-y+1/2,z'
loop_
_atom_site_label
_atom_site_fract_x
_atom_site_fract_y
_atom_site_fract_z
_atom_site_occupancy
Li1 0.000 0.000 0.000 1
Li2 0.000 0.246 0.500 1
Sb1 0.200 0.500 0.889 1
Pd1 0.071 0.500 0.306 1
Pd2 0.142 0.000 0.551 1
Pd3 0.168 0.235 0.175 1
# Energy, eV per cell: -121.24
# Formation energy from raw total energies, meV/atom: -392

---

(3)
# ZnRu2Rh2 | Alexandria via LeMat-Bulk | PBE-GGA | relaxed
data_ZnRu2Rh2
_cell_length_a 7.449
_cell_length_b 7.449
_cell_length_c 2.741
_cell_angle_alpha 90.00
_cell_angle_beta 90.00
_cell_angle_gamma 90.00
_space_group_name_H-M_alt 'P 4/m b m'
_space_group_IT_number 127
_space_group_name_Hall '-P 4 2ab'
loop_
_atom_site_label
_atom_site_fract_x
_atom_site_fract_y
_atom_site_fract_z
_atom_site_occupancy
Zn1 0.000 0.000 0.000 1
Ru1 0.174 0.326 0.500 1
Rh1 0.123 0.623 0.000 1
# E above lowest polymorph, meV per atom: 18
# ΔE_f, meV per atom: 279
# Energy, eV per cell: -66.27

---

(4)
# NaHoPt4 | Alexandria via LeMat-Bulk | PBE-GGA | relaxed
data_NaHoPt4
_cell_length_a 7.618
_cell_length_b 7.618
_cell_length_c 7.618
_cell_angle_alpha 90.00
_cell_angle_beta 90.00
_cell_angle_gamma 90.00
_space_group_name_H-M_alt 'F -4 3 m'
_space_group_IT_number 216
_space_group_name_Hall 'F -4 2 3'
loop_
_atom_site_label
_atom_site_fract_x
_atom_site_fract_y
_atom_site_fract_z
_atom_site_occupancy
Na1 0.000 0.000 0.000 1
Ho1 0.250 0.250 0.750 1
Pt1 0.125 0.125 0.375 1
# ΔE_f, meV per atom: -812
# Energy, eV per cell: -139.73

---

(5)
# CaCrRe4 | Alexandria via LeMat-Bulk | PBE-GGA | relaxed
data_CaCrRe4
_cell_length_a 7.471
_cell_length_b 7.471
_cell_length_c 7.471
_cell_angle_alpha 90.00
_cell_angle_beta 90.00
_cell_angle_gamma 90.00
_space_group_name_H-M_alt 'F -4 3 m'
_space_group_IT_number 216
_space_group_name_Hall 'F -4 2 3'
loop_
_atom_site_label
_atom_site_fract_x
_atom_site_fract_y
_atom_site_fract_z
_atom_site_occupancy
Ca1 0.000 0.000 0.000 1
Cr1 0.250 0.250 0.750 1
Re1 0.125 0.125 0.375 1
# ΔE_f, meV per atom: 420
# Energy, eV per cell: -235.60